The following is a DFT calculation (PBE) of a geometry-optimized TlRu3C structure.

Lattice parameters (Å, degrees): 5.030 5.030 5.030 90.00 90.00 90.00
Fractional coordinates of all 5 atoms:
C  0.500  0.500  0.500
Ru  0.500  0.000  0.000
Ru  0.000  0.500  0.000
Ru  0.000  0.000  0.500
Tl  0.000  0.000  0.000

The total DFT energy (no corrections) comes out at -4.2519 eV/atom. The formation energy comes out at 3.63 eV per atom. The calculation puts the energy above the most stable polymorph in this dataset at 3.291 eV/atom. The density of states at the Fermi level comes out at 1.445 states/eV/atom.